The following is a PBEsol calculation of a geometry-optimized ZnHg3 structure, from Alexandria.

Cell lengths 3.382, 3.382, 8.767 Å; angles 78.88, 78.88, 60.00 degrees
Fractional coordinates of all 4 atoms:
Zn 0.000 0.000 0.000
Hg 0.257 0.257 0.230
Hg 0.500 0.500 0.500
Hg 0.743 0.743 0.770

Values from the calculation:
* energy of formation: 0.047 eV/atom
* SG: No. 166
* offset from the most stable computed form: 0.0 meV/atom
* D(E_F): 1.28 states/eV per cell

The following is a PBEsol calculation of a geometry-optimized SiNO2 structure, from Alexandria.

Cell lengths 5.275, 5.275, 5.275 Å; angles 60.00, 60.00, 60.00 degrees
Fractional coordinates of all 8 atoms:
Si 0.750 0.750 0.750
Si 0.500 0.500 0.500
O 0.625 0.625 0.625
O 0.625 0.625 0.125
O 0.625 0.125 0.625
O 0.125 0.625 0.625
N 0.250 0.250 0.250
N 0.000 0.000 0.000

Values from the calculation:
* SG: No. 227
* D(E_F): 0.00 states/eV per cell
* E_form (uncorrected): -3.0 eV per formula unit

The following is a PBEsol calculation of a geometry-optimized YSc2Rh structure, from Alexandria.

Cell lengths 3.319, 3.319, 7.930 Å; angles 90.00, 90.00, 90.00 degrees
Fractional coordinates of all 4 atoms:
Rh 0.500 0.500 0.772
Sc 0.000 0.000 0.948
Sc 0.500 0.500 0.232
Y 0.000 0.000 0.547

Values from the calculation:
* energy of formation: -0.374 eV/atom
* SG: No. 99
* offset from the most stable computed form: 95.4 meV/atom
* D(E_F): 5.95 states/eV per cell

The following is a PBEsol calculation of a geometry-optimized BAs2OsSe structure, from Alexandria.

Cell lengths 4.608, 4.608, 5.275 Å; angles 90.00, 90.00, 90.00 degrees
Fractional coordinates of all 5 atoms:
As 0.000 0.500 0.000
As 0.500 0.000 0.000
B 0.500 0.500 0.500
Os 0.000 0.000 0.000
Se 0.000 0.000 0.500

Values from the calculation:
* SG: No. 123
* D(E_F): 4.24 states/eV per cell
* E_form (uncorrected): 7.5 eV per formula unit

The following is a PBEsol calculation of a geometry-optimized TaCuSi2 structure, from Alexandria.

Cell lengths 3.321, 3.321, 5.111 Å; angles 90.00, 90.00, 90.00 degrees
Fractional coordinates of all 4 atoms:
Cu 0.500 0.500 0.781
Si 0.000 0.000 0.981
Si 0.500 0.500 0.259
Ta 0.000 0.000 0.479

Values from the calculation:
* SG: No. 99
* D(E_F): 1.54 states/eV per cell
* E_form (uncorrected): -0.7 eV per formula unit

The following is a PBEsol calculation of a geometry-optimized SrZn2Pt structure, from Alexandria.

Cell lengths 4.338, 4.338, 5.812 Å; angles 68.09, 68.09, 60.00 degrees
Fractional coordinates of all 4 atoms:
Sr 0.000 0.000 0.000
Zn 0.198 0.198 0.405
Zn 0.802 0.802 0.595
Pt 0.500 0.500 0.500

Values from the calculation:
* energy of formation: -0.510 eV/atom
* SG: No. 166
* D(E_F): 1.69 states/eV per cell

The following is a PBEsol calculation of a geometry-optimized CeIn5Rh structure, from Alexandria.

Cell lengths 4.618, 4.618, 7.411 Å; angles 90.00, 90.00, 90.00 degrees
Fractional coordinates of all 7 atoms:
Ce 0.000 0.000 0.000
In 0.500 0.500 0.000
In 0.500 0.000 0.698
In 0.000 0.500 0.302
In 0.500 0.000 0.302
In 0.000 0.500 0.698
Rh 0.000 0.000 0.500

Values from the calculation:
* energy of formation: -0.455 eV/atom
* SG: No. 123
* D(E_F): 6.03 states/eV per cell

The following is a PBEsol calculation of a geometry-optimized TaRe2Pt structure, from Alexandria.

Cell lengths 2.765, 4.813, 4.863 Å; angles 98.99, 90.00, 106.69 degrees
Fractional coordinates of all 4 atoms:
Pt 0.748 0.496 0.252
Re 0.000 0.000 0.988
Re 0.252 0.504 0.769
Ta 0.500 0.999 0.491

Values from the calculation:
* energy of formation: -0.134 eV/atom
* SG: No. 8
* offset from the most stable computed form: 145.4 meV/atom
* D(E_F): 2.24 states/eV per cell

The following is a PBEsol calculation of a geometry-optimized Sc2Cd structure, from Alexandria.

Cell lengths 3.094, 3.094, 14.189 Å; angles 96.26, 96.26, 90.00 degrees
Fractional coordinates of all 6 atoms:
Cd 0.000 0.000 0.000
Cd 0.250 0.750 0.500
Sc 0.674 0.174 0.349
Sc 0.826 0.326 0.651
Sc 0.424 0.424 0.849
Sc 0.576 0.576 0.151

Values from the calculation:
* energy of formation: -0.027 eV/atom
* SG: No. 141
* D(E_F): 7.74 states/eV per cell

The following is a PBEsol calculation of a geometry-optimized KAlP4 structure, from Alexandria.

Cell lengths 5.453, 5.453, 5.453 Å; angles 60.00, 60.00, 60.00 degrees
Fractional coordinates of all 6 atoms:
P 0.393 0.393 0.393
P 0.393 0.393 0.822
P 0.822 0.393 0.393
P 0.393 0.822 0.393
K 0.000 0.000 0.000
Al 0.750 0.750 0.750

Values from the calculation:
* energy of formation: 0.233 eV/atom
* SG: No. 216
* offset from the most stable computed form: 548.9 meV/atom
* D(E_F): 2.48 states/eV per cell

The following is a PBEsol calculation of a geometry-optimized CoCuNO2 structure, from Alexandria.

Cell lengths 3.612, 3.714, 3.714 Å; angles 90.00, 90.00, 90.00 degrees
Fractional coordinates of all 5 atoms:
Co 0.500 0.500 0.500
O 0.000 0.000 0.500
O 0.000 0.500 0.000
Cu 0.000 0.000 0.000
N 0.500 0.000 0.000

Values from the calculation:
* SG: No. 123
* D(E_F): 4.63 states/eV per cell
* E_form (uncorrected): 4.3 eV per formula unit

The following is a PBEsol calculation of a geometry-optimized TaCoSi2As structure, from Alexandria.

Cell lengths 4.143, 4.143, 4.780 Å; angles 90.00, 90.00, 90.00 degrees
Fractional coordinates of all 5 atoms:
As 0.500 0.500 0.500
Co 0.000 0.000 0.000
Si 0.000 0.500 0.000
Si 0.500 0.000 0.000
Ta 0.000 0.000 0.500

Values from the calculation:
* SG: No. 123
* D(E_F): 2.68 states/eV per cell
* E_form (uncorrected): 1.2 eV per formula unit

The following is a PBEsol calculation of a geometry-optimized Nb2PdCl structure, from Alexandria.

Cell lengths 4.484, 4.484, 4.484 Å; angles 60.00, 60.00, 60.00 degrees
Fractional coordinates of all 4 atoms:
Nb 0.250 0.250 0.250
Nb 0.750 0.750 0.750
Pd 0.500 0.500 0.500
Cl 0.000 0.000 0.000

Values from the calculation:
* SG: No. 225
* D(E_F): 4.75 states/eV per cell
* E_form (uncorrected): 0.4 eV per formula unit

The following is a PBEsol calculation of a geometry-optimized CdCuTc2 structure, from Alexandria.

Cell lengths 3.135, 4.090, 5.226 Å; angles 113.04, 107.45, 90.00 degrees
Fractional coordinates of all 4 atoms:
Cd 0.500 0.000 0.000
Cu 0.000 0.500 0.000
Tc 0.740 0.740 0.479
Tc 0.260 0.260 0.521

Values from the calculation:
* energy of formation: 0.418 eV/atom
* SG: No. 71
* D(E_F): 3.47 states/eV per cell

The following is a PBEsol calculation of a geometry-optimized ErTlO2 structure, from Alexandria.

Cell lengths 3.414, 3.414, 6.672 Å; angles 75.18, 75.18, 60.00 degrees
Fractional coordinates of all 4 atoms:
Tl 0.000 0.000 0.000
O 0.776 0.776 0.672
O 0.224 0.224 0.328
Er 0.500 0.500 0.500

Values from the calculation:
* SG: No. 166
* D(E_F): 0.00 states/eV per cell
* E_form (uncorrected): -9.7 eV per formula unit

The following is a PBEsol calculation of a geometry-optimized SiMoPPt2 structure, from Alexandria.

Cell lengths 4.400, 4.400, 4.563 Å; angles 90.00, 90.00, 90.00 degrees
Fractional coordinates of all 5 atoms:
P 0.500 0.500 0.500
Mo 0.000 0.000 0.500
Si 0.000 0.000 0.000
Pt 0.000 0.500 0.000
Pt 0.500 0.000 0.000

Values from the calculation:
* SG: No. 123
* D(E_F): 3.61 states/eV per cell
* E_form (uncorrected): 3.9 eV per formula unit

The following is a PBEsol calculation of a geometry-optimized ZrTaNi2 structure, from Alexandria.

Cell lengths 3.148, 3.971, 5.078 Å; angles 90.00, 108.24, 90.00 degrees
Fractional coordinates of all 4 atoms:
Ni 0.798 0.000 0.971
Ni 0.958 0.500 0.290
Zr 0.229 0.500 0.834
Ta 0.515 0.000 0.404

Values from the calculation:
* energy of formation: -0.305 eV/atom
* SG: No. 6
* D(E_F): 3.89 states/eV per cell

The following is a PBEsol calculation of a geometry-optimized KRbGaMo2 structure, from Alexandria.

Cell lengths 5.027, 5.027, 6.099 Å; angles 90.00, 90.00, 90.00 degrees
Fractional coordinates of all 5 atoms:
K 0.000 0.000 0.500
Mo 0.000 0.500 0.000
Mo 0.500 0.000 0.000
Ga 0.000 0.000 0.000
Rb 0.500 0.500 0.500

Values from the calculation:
* energy of formation: 1.545 eV/atom
* SG: No. 123
* D(E_F): 3.08 states/eV per cell

The following is a PBEsol calculation of a geometry-optimized TaHgPb structure, from Alexandria.

Cell lengths 3.151, 3.151, 7.573 Å; angles 90.00, 90.00, 120.00 degrees
Fractional coordinates of all 3 atoms:
Hg 0.000 0.000 0.022
Pb 0.333 0.667 0.654
Ta 0.667 0.333 0.324

Values from the calculation:
* energy of formation: 0.425 eV/atom
* SG: No. 156
* D(E_F): 2.24 states/eV per cell

The following is a PBEsol calculation of a geometry-optimized Ba2CuIO2 structure, from Alexandria.

Cell lengths 4.381, 10.947, 13.940 Å; angles 91.25, 90.00, 90.00 degrees
Fractional coordinates of all 24 atoms:
Ba 0.750 0.091 0.322
Ba 0.250 0.300 0.106
Ba 0.750 0.169 0.856
Ba 0.750 0.700 0.894
Ba 0.250 0.909 0.678
Ba 0.250 0.415 0.596
Ba 0.750 0.585 0.404
Ba 0.250 0.831 0.144
Cu 0.250 0.334 0.347
Cu 0.750 0.666 0.653
Cu 0.250 0.932 0.908
Cu 0.750 0.068 0.092
I 0.750 0.150 0.587
I 0.250 0.435 0.856
I 0.750 0.565 0.144
I 0.250 0.850 0.413
O 0.750 0.944 0.175
O 0.750 0.530 0.581
O 0.750 0.801 0.728
O 0.250 0.788 0.965
O 0.250 0.470 0.419
O 0.250 0.199 0.272
O 0.750 0.212 0.035
O 0.250 0.056 0.825

Values from the calculation:
* SG: No. 11
* D(E_F): 0.00 states/eV per cell
* E_form (uncorrected): -11.4 eV per formula unit